[1]
VASP calculation (PBE) on a relaxed AcPm5Te6 crystal.

Cell: 7.780 13.570 7.831 Å, 90.00 109.57 90.00°
Space group C2/m (No. 12)
Unique sites:
Ac1 0.000 0.000 0.000 [2 per cell]
Pm1 0.000 0.159 0.500 [4 per cell]
Pm2 0.000 0.332 0.000 [4 per cell]
Pm3 0.000 0.500 0.500 [2 per cell]
Te1 0.238 0.500 0.249 [4 per cell]
Te2 0.242 0.328 0.741 [8 per cell]

## Properties
formation energy (no corrections)	-1.416	eV per atom
spin magnetization	0.00	μB/f.u.
V	779	Å³ per cell

[2]
VASP calculation (PBE) on a relaxed Ac2Pm3Te8 crystal.

Cell: 16.077 9.154 7.821 Å, 90.00 108.91 90.00°
Space group C2/m (No. 12)
Unique sites:
Ac1 0.242 0.000 0.165 [4 per cell]
Pm1 0.000 0.241 0.500 [4 per cell]
Pm2 0.000 0.500 0.000 [2 per cell]
Te1 0.115 0.500 0.414 [4 per cell]
Te2 0.117 0.259 0.910 [8 per cell]
Te3 0.124 0.000 0.438 [4 per cell]

## Properties
formation energy (no corrections)	-1.348	eV per atom
spin magnetization	0.00	μB/f.u.
V	1089	Å³ per cell

[3]
VASP calculation (PBE) on a relaxed Ac3Pm2ThTe6 crystal.

Cell: 20.064 4.585 9.226 Å, 90.00 103.68 90.00°
Space group C2/m (No. 12)
Unique sites:
Ac1 0.000 0.000 0.000 [2 per cell]
Ac2 0.165 0.500 0.333 [4 per cell]
Pm1 0.165 0.500 0.830 [4 per cell]
Th1 0.000 0.000 0.500 [2 per cell]
Te1 0.004 0.500 0.743 [4 per cell]
Te2 0.164 0.000 0.593 [4 per cell]
Te3 0.171 0.000 0.073 [4 per cell]

## Properties
formation energy (no corrections)	-1.370	eV per atom
spin magnetization	0.00	μB/f.u.
V	825	Å³ per cell

[4]
VASP calculation (PBE) on a relaxed Ac2Pm3ThTe6 crystal.

Cell: 19.961 4.526 9.171 Å, 90.00 104.72 90.00°
Space group C2/m (No. 12)
Unique sites:
Ac1 0.163 0.000 0.329 [4 per cell]
Pm1 0.000 0.500 0.500 [2 per cell]
Pm2 0.170 0.000 0.838 [4 per cell]
Th1 0.000 0.500 0.000 [2 per cell]
Te1 0.007 0.000 0.752 [4 per cell]
Te2 0.165 0.500 0.594 [4 per cell]
Te3 0.166 0.500 0.071 [4 per cell]

## Properties
formation energy (no corrections)	-1.352	eV per atom
spin magnetization	0.00	μB/f.u.
V	801	Å³ per cell

[5]
VASP calculation (PBE) on a relaxed AcPm2TmTe5 crystal.

Cell: 5.492 5.492 12.189 Å, 90.00 90.00 90.00°
Space group P4/mmm (No. 123)
Unique sites:
Ac1 0.000 0.000 0.000 [1 per cell]
Pm1 0.500 0.500 0.353 [2 per cell]
Tm1 0.000 0.000 0.500 [1 per cell]
Te1 0.000 0.000 0.258 [2 per cell]
Te2 0.000 0.500 0.500 [2 per cell]
Te3 0.500 0.500 0.000 [1 per cell]

## Properties
formation energy (no corrections)	-0.910	eV per atom
spin magnetization	0.31	μB/f.u.
V	368	Å³ per cell

[6]
VASP calculation (PBE) on a relaxed Ac3Pm3TmTe8 crystal.

Cell: 9.0632 9.0632 22.8113 Å, 90.00 90.00 120.00°
Space group R-3m (No. 166, hexagonal axes)
Unique sites:
Ac1 0.0000 0.5000 0.0000 [9 per cell]
Pm1 0.0000 0.5000 0.5000 [9 per cell]
Tm1 0.0000 0.0000 0.5000 [3 per cell]
Te1 0.0000 0.0000 0.2444 [6 per cell]
Te2 0.0034 0.5017 0.2438 [18 per cell]

## Properties
formation energy (no corrections)	-1.455	eV per atom
spin magnetization	0.00	μB/f.u.
V	1623	Å³ per cell

[7]
VASP calculation (PBE) on a relaxed Ac3Pm2YTe6 crystal.

Cell: 20.105 4.529 9.281 Å, 90.00 104.96 90.00°
Space group C2/m (No. 12)
Unique sites:
Ac1 0.000 0.000 0.000 [2 per cell]
Ac2 0.169 0.500 0.335 [4 per cell]
Pm1 0.168 0.500 0.835 [4 per cell]
Y1 0.000 0.000 0.500 [2 per cell]
Te1 0.003 0.500 0.734 [4 per cell]
Te2 0.159 0.000 0.592 [4 per cell]
Te3 0.170 0.000 0.074 [4 per cell]

## Properties
formation energy (no corrections)	-1.429	eV per atom
spin magnetization	0.00	μB/f.u.
V	816	Å³ per cell

[8]
VASP calculation (PBE) on a relaxed Ac3Pm3YTe8 crystal.

Cell: 9.0704 9.0704 22.8050 Å, 90.00 90.00 120.00°
Space group R-3m (No. 166, hexagonal axes)
Unique sites:
Ac1 0.0000 0.5000 0.0000 [9 per cell]
Pm1 0.0000 0.5000 0.5000 [9 per cell]
Y1 0.0000 0.0000 0.5000 [3 per cell]
Te1 0.0000 0.0000 0.2444 [6 per cell]
Te2 0.0009 0.5004 0.7552 [18 per cell]

## Properties
formation energy (no corrections)	-1.472	eV per atom
spin magnetization	0.00	μB/f.u.
V	1625	Å³ per cell

[9]
VASP calculation (PBE) on a relaxed AcPmYTe3 crystal.

Cell: 8.800 4.469 10.992 Å, 90.00 106.07 90.00°
Space group P2_1/m (No. 11)
Unique sites:
Ac1 0.192 0.250 0.219 [2 per cell]
Pm1 0.340 0.750 0.907 [2 per cell]
Y1 0.153 0.250 0.623 [2 per cell]
Te1 0.091 0.250 0.891 [2 per cell]
Te2 0.218 0.750 0.458 [2 per cell]
Te3 0.486 0.750 0.209 [2 per cell]

## Properties
formation energy (no corrections)	-1.306	eV per atom
spin magnetization	0.00	μB/f.u.
V	415	Å³ per cell

[10]
VASP calculation (PBE) on a relaxed Ac2PmTh crystal.

Cell: 3.781 3.781 10.770 Å, 90.00 90.00 90.00°
Space group P4/mmm (No. 123)
Unique sites:
Ac1 0.000 0.000 0.243 [2 per cell]
Pm1 0.500 0.500 0.500 [1 per cell]
Th1 0.500 0.500 0.000 [1 per cell]

## Properties
distance to the lowest polymorph of the same formula	0.0000	eV per atom
calculated formation energy	106	meV/atom
spin magnetization	0.00	μB/f.u.
V	154	Å³ per cell

[11]
VASP calculation (PBE) on a relaxed AcPm5Th2 crystal.

Cell: 3.658 11.385 13.724 Å, 90.00 90.00 90.00°
Space group Immm (No. 71)
Unique sites:
Ac1 0.000 0.000 0.000 [2 per cell]
Pm1 0.000 0.227 0.367 [8 per cell]
Pm2 0.000 0.500 0.000 [2 per cell]
Th1 0.000 0.500 0.257 [4 per cell]

## Properties
calculated formation energy	106	meV/atom
spin magnetization	0.00	μB/f.u.
V	572	Å³ per cell

[12]
VASP calculation (PBE) on a relaxed AcPmTh2 crystal.

Cell: 3.6815 3.6815 36.1451 Å, 90.00 90.00 120.00°
Space group R3m (No. 160, hexagonal axes)
Unique sites:
Ac1 0.0000 0.0000 0.0000 [3 per cell]
Pm1 0.0000 0.0000 0.1690 [3 per cell]
Th1 0.0000 0.0000 0.4202 [3 per cell]
Th2 0.0000 0.0000 0.5826 [3 per cell]

## Properties
distance to the lowest polymorph of the same formula	0.0000	eV per atom
calculated formation energy	115	meV/atom
spin magnetization	0.00	μB/f.u.
V	424	Å³ per cell

[13]
VASP calculation (PBE) on a relaxed Ac2PmTh crystal.

Cell: 3.7007 3.7007 39.8296 Å, 90.00 90.00 120.00°
Space group R-3m (No. 166, hexagonal axes)
Unique sites:
Ac1 0.0000 0.0000 0.0887 [6 per cell]
Pm1 0.0000 0.0000 0.5000 [3 per cell]
Th1 0.0000 0.0000 0.0000 [3 per cell]

## Properties
distance to the lowest polymorph of the same formula	0.1770	eV per atom
calculated formation energy	283	meV/atom
spin magnetization	0.00	μB/f.u.
V	472	Å³ per cell

[14]
VASP calculation (PBE) on a relaxed AcPm5Th crystal.

Cell: 5.753 5.753 8.088 Å, 90.00 90.00 90.00°
Space group P4/mmm (No. 123)
Unique sites:
Ac1 0.000 0.000 0.000 [1 per cell]
Pm1 0.000 0.500 0.287 [4 per cell]
Pm2 0.500 0.500 0.000 [1 per cell]
Th1 0.000 0.000 0.500 [1 per cell]

## Properties
calculated formation energy	317	meV/atom
spin magnetization	0.00	μB/f.u.
V	268	Å³ per cell

[15]
VASP calculation (PBE) on a relaxed Ac14PmTh crystal.

Cell: 7.873 7.873 11.248 Å, 90.00 90.00 90.00°
Space group P4/mmm (No. 123)
Unique sites:
Ac1 0.000 0.000 0.000 [1 per cell]
Ac2 0.000 0.500 0.000 [2 per cell]
Ac3 0.000 0.500 0.500 [2 per cell]
Ac4 0.246 0.246 0.259 [8 per cell]
Ac5 0.500 0.500 0.000 [1 per cell]
Pm1 0.500 0.500 0.500 [1 per cell]
Th1 0.000 0.000 0.500 [1 per cell]

## Properties
calculated formation energy	49	meV/atom
spin magnetization	0.00	μB/f.u.
V	697	Å³ per cell

[16]
VASP calculation (PBE) on a relaxed AcPm3Th crystal.

Cell: 13.667 3.715 14.241 Å, 90.00 92.66 90.00°
Space group C2/m (No. 12)
Unique sites:
Ac1 0.162 0.000 0.412 [4 per cell]
Pm1 0.033 0.000 0.171 [4 per cell]
Pm2 0.073 0.500 0.624 [4 per cell]
Pm3 0.230 0.000 0.796 [4 per cell]
Th1 0.136 0.500 0.983 [4 per cell]

## Properties
calculated formation energy	61	meV/atom
spin magnetization	0.00	μB/f.u.
V	722	Å³ per cell

[17]
VASP calculation (PBE) on a relaxed AcPmTh2 crystal.

Cell: 3.6038 3.6038 38.5920 Å, 90.00 90.00 120.00°
Space group R-3m (No. 166, hexagonal axes)
Unique sites:
Ac1 0.0000 0.0000 0.0000 [3 per cell]
Pm1 0.0000 0.0000 0.5000 [3 per cell]
Th1 0.0000 0.0000 0.0905 [6 per cell]

## Properties
distance to the lowest polymorph of the same formula	0.1525	eV per atom
calculated formation energy	267	meV/atom
spin magnetization	0.00	μB/f.u.
V	434	Å³ per cell

[18]
VASP calculation (PBE) on a relaxed AcPm4Th crystal.

Cell: 9.478 9.478 9.478 Å, 90.00 90.00 90.00°
Space group F-43m (No. 216)
Unique sites:
Ac1 0.000 0.000 0.000 [4 per cell]
Pm1 0.124 0.124 0.624 [16 per cell]
Th1 0.250 0.250 0.250 [4 per cell]

## Properties
distance to the lowest polymorph of the same formula	0.2469	eV per atom
calculated formation energy	297	meV/atom
spin magnetization	0.65	μB/f.u.
V	851	Å³ per cell

[19]
VASP calculation (PBE) on a relaxed AcPmTh2 crystal.

Cell: 8.278 8.278 8.278 Å, 90.00 90.00 90.00°
Space group Fm-3m (No. 225)
Unique sites:
Ac1 0.000 0.000 0.000 [4 per cell]
Pm1 0.000 0.000 0.500 [4 per cell]
Th1 0.250 0.250 0.250 [8 per cell]

## Properties
distance to the lowest polymorph of the same formula	0.1875	eV per atom
calculated formation energy	302	meV/atom
spin magnetization	0.00	μB/f.u.
V	567	Å³ per cell

[20]
VASP calculation (PBE) on a relaxed AcPm4Th crystal.

Cell: 3.686 6.354 9.836 Å, 77.98 79.24 73.45°
Space group P-1 (No. 2)
Unique sites:
Ac1 0.000 0.000 0.000 [1 per cell]
Pm1 0.335 0.988 0.345 [2 per cell]
Pm2 0.337 0.510 0.817 [2 per cell]
Th1 0.000 0.500 0.500 [1 per cell]

## Properties
distance to the lowest polymorph of the same formula	0.0000	eV per atom
calculated formation energy	50	meV/atom
spin magnetization	0.00	μB/f.u.
V	214	Å³ per cell

[21]
VASP calculation (PBE) on a relaxed AcPmTh2 crystal.

Cell: 4.332 4.332 7.578 Å, 90.00 90.00 90.00°
Space group P4/mmm (No. 123)
Unique sites:
Ac1 0.000 0.000 0.000 [1 per cell]
Pm1 0.000 0.000 0.500 [1 per cell]
Th1 0.500 0.500 0.280 [2 per cell]

## Properties
distance to the lowest polymorph of the same formula	0.1096	eV per atom
calculated formation energy	224	meV/atom
spin magnetization	0.00	μB/f.u.
V	142	Å³ per cell

[22]
VASP calculation (PBE) on a relaxed Ac2PmTh crystal.

Cell: 5.362 5.362 5.354 Å, 90.00 90.00 90.00°
Space group P4/mmm (No. 123)
Unique sites:
Ac1 0.000 0.500 0.000 [2 per cell]
Pm1 0.000 0.000 0.500 [1 per cell]
Th1 0.500 0.500 0.500 [1 per cell]

## Properties
distance to the lowest polymorph of the same formula	0.0150	eV per atom
calculated formation energy	121	meV/atom
spin magnetization	0.00	μB/f.u.
V	154	Å³ per cell

[23]
VASP calculation (PBE) on a relaxed AcPmTh2 crystal.

Cell: 5.159 5.159 5.285 Å, 90.00 90.00 90.00°
Space group P4/mmm (No. 123)
Unique sites:
Ac1 0.000 0.000 0.000 [1 per cell]
Pm1 0.500 0.500 0.000 [1 per cell]
Th1 0.000 0.500 0.500 [2 per cell]

## Properties
distance to the lowest polymorph of the same formula	0.0228	eV per atom
calculated formation energy	138	meV/atom
spin magnetization	0.00	μB/f.u.
V	141	Å³ per cell

[24]
VASP calculation (PBE) on a relaxed Ac2PmTh crystal.

Cell: 8.525 8.525 8.525 Å, 90.00 90.00 90.00°
Space group Fm-3m (No. 225)
Unique sites:
Ac1 0.250 0.250 0.250 [8 per cell]
Pm1 0.000 0.000 0.000 [4 per cell]
Th1 0.000 0.000 0.500 [4 per cell]

## Properties
distance to the lowest polymorph of the same formula	0.1514	eV per atom
calculated formation energy	258	meV/atom
spin magnetization	0.00	μB/f.u.
V	619	Å³ per cell